--- w ---
A relaxed structure of SeIO4, computed with PBE.

Summary:
total magnetic moment	1.02	μB/f.u.
calculated density	3.63	g cm⁻³

a b c (Å): 5.2201 9.0161 5.3191
angles (deg): 90.00 99.97 90.00
With the nearest neighbours (Å) after each atom.
Atoms (fractional coordinates):
1 Se 0.0000 0.2052 0.2500  4 O 1.64-1.77
2 Se 0.0000 0.7948 0.7500  4 O 1.64-1.77
3 I 0.5000 0.3002 0.7500  2 O 2.12
4 I 0.5000 0.6998 0.2500  2 O 2.12
5 O 0.1774 0.3377 0.4551  1 Se 1.77
6 O 0.1774 0.6623 0.9551  1 Se 1.77
7 O 0.2012 0.1166 0.0981  1 Se 1.64
8 O 0.2012 0.8834 0.5981  1 Se 1.64
9 O 0.7988 0.1166 0.4019  1 Se 1.64
10 O 0.7988 0.8834 0.9019  1 Se 1.64
11 O 0.8226 0.3377 0.0449  1 Se 1.77
12 O 0.8226 0.6623 0.5449  1 Se 1.77

***

--- x ---
A relaxed structure of SeIO4, computed with PBE.

Summary:
total magnetic moment	1.00	μB/f.u.
calculated density	3.74	g cm⁻³

a b c (Å): 5.0138 4.8099 19.9092
angles (deg): 90.00 93.94 90.00
With the nearest neighbours (Å) after each atom.
Atoms (fractional coordinates):
1 Se 0.2478 0.0710 0.1038  4 O 1.62-1.81
2 Se 0.2478 0.4290 0.6038  4 O 1.62-1.81
3 Se 0.7522 0.5710 0.3962  4 O 1.62-1.81
4 Se 0.7522 0.9290 0.8962  4 O 1.62-1.81
5 I 0.2652 0.0550 0.3452  2 O 2.08-2.32
6 I 0.2652 0.4450 0.8452  2 O 2.08-2.32
7 I 0.7348 0.5550 0.1548  2 O 2.08-2.32
8 I 0.7348 0.9450 0.6548  2 O 2.08-2.32
9 O 0.0476 0.5882 0.6587  1 Se 1.71
10 O 0.0476 0.9118 0.1587  1 Se 1.71
11 O 0.0995 0.2358 0.5458  1 Se 1.62
12 O 0.0995 0.2642 0.0458  1 Se 1.62
13 O 0.4188 0.2141 0.6680  1 Se 1.81
14 O 0.4188 0.2859 0.1680  1 Se 1.81
15 O 0.4694 0.6482 0.5726  1 Se 1.68
16 O 0.4694 0.8518 0.0726  1 Se 1.68
17 O 0.5306 0.1482 0.9274  1 Se 1.68
18 O 0.5306 0.3518 0.4274  1 Se 1.68
19 O 0.5812 0.7141 0.8320  1 Se 1.81
20 O 0.5812 0.7859 0.3320  1 Se 1.81
21 O 0.9005 0.7358 0.9542  1 Se 1.62
22 O 0.9005 0.7642 0.4542  1 Se 1.62
23 O 0.9524 0.0882 0.8413  1 Se 1.71
24 O 0.9524 0.4118 0.3413  1 Se 1.71

***

Pick w: it beats the second-best structure by 26 meV per atom.

***

--- w ---
A relaxed structure of Se2IO2, computed with PBE.

Summary:
total magnetic moment	0.00	μB/f.u.
calculated density	5.01	g cm⁻³

a b c (Å): 6.4101 6.4101 6.4101
angles (deg): 140.67 140.67 56.84
With the nearest neighbours (Å) after each atom.
Atoms (fractional coordinates):
1 Se 0.2500 0.7500 0.5000  4 O 2.20
2 Se 0.7500 0.2500 0.5000  4 O 2.20
3 I 0.0000 0.0000 0.0000  2 O 3.23, 8 Se 3.55
4 O 0.2865 0.2865 0.0000  4 Se 2.20
5 O 0.7135 0.7135 0.0000  4 Se 2.20

***

--- x ---
A relaxed structure of Se2IO2, computed with PBE.

Summary:
total magnetic moment	0.00	μB/f.u.
calculated density	5.33	g cm⁻³

a b c (Å): 6.4536 6.4536 6.4536
angles (deg): 142.56 142.56 53.99
With the nearest neighbours (Å) after each atom.
Atoms (fractional coordinates):
1 Se 0.1932 0.1932 0.0000  4 O 2.17
2 Se 0.8068 0.8068 0.0000  4 O 2.17
3 I 0.5000 0.5000 0.0000  10 Se 3.53-3.68, 8 O 3.54
4 O 0.2500 0.7500 0.5000  4 Se 2.17
5 O 0.7500 0.2500 0.5000  4 Se 2.17

***

Pick x: it beats the second-best structure by 132 meV per atom.